V2SiSe2 | PBE-GGA | optimized geometry

Summary:
The formation energy without anion corrections is 0.1361 eV per atom. The value obtained for the total moment is 3.011 μB per cell. The calculation puts the uncorrected energy at -5.990 eV per atom. The calculation puts the distance to the lowest polymorph of the same formula at 0.387 eV/f.u.

Cell and atoms, written as POSCAR:
```
V2SiSe2
1.0
7.253 0.000 0.000
0.000 7.253 0.000
0.000 0.000 3.046
Si Se V
2 4 4
direct
0.000 0.000 0.000
0.500 0.500 0.000
0.357 0.857 0.000
0.857 0.643 0.000
0.643 0.143 0.000
0.143 0.357 0.000
0.154 0.654 0.500
0.654 0.846 0.500
0.846 0.346 0.500
0.346 0.154 0.500
```

VSiSe3 | PBE-GGA | optimized geometry

Summary:
The formation energy without anion corrections is 0.2773 eV per atom. The value obtained for the total moment is 1.253 μB per cell. The calculation puts the uncorrected energy at -4.722 eV per atom. The calculation puts the distance to the lowest polymorph of the same formula at 0.000 eV/f.u.

Cell and atoms, written as POSCAR:
```
VSiSe3
1.0
4.844 0.000 0.000
0.000 4.844 0.000
0.000 0.000 4.844
Si Se V
1 3 1
direct
0.500 0.500 0.500
0.000 0.500 0.000
0.000 0.000 0.500
0.500 0.000 0.000
0.000 0.000 0.000
```

SiWSe2 | PBE-GGA | optimized geometry

Summary:
The formation energy without anion corrections is 0.1844 eV per atom. The value obtained for the total moment is 0.000 μB per cell. The calculation puts the uncorrected energy at -6.152 eV per atom.

Cell and atoms, written as POSCAR:
```
SiWSe2
1.0
-7.085 0.653 5.267
-7.755 -2.066 3.738
-5.854 -2.103 6.299
Se Si W
2 1 1
direct
0.014 0.014 0.014
0.486 0.486 0.486
0.250 0.250 0.250
0.750 0.750 0.750
```

SiWSe2 | PBE-GGA | optimized geometry

Summary:
The formation energy without anion corrections is 0.5676 eV per atom. The value obtained for the total moment is 0.000 μB per cell. The calculation puts the uncorrected energy at -5.769 eV per atom.

Cell and atoms, written as POSCAR:
```
SiWSe2
1.0
4.455 0.000 0.000
0.000 3.700 -0.004
0.000 0.793 4.407
Se Si W
2 1 1
direct
0.000 0.945 0.990
0.000 0.555 0.510
0.500 0.250 0.250
0.500 0.750 0.750
```

SiWSe2 | PBE-GGA | optimized geometry

Summary:
The formation energy without anion corrections is 0.1014 eV per atom. The value obtained for the total moment is 0.499 μB per cell. The calculation puts the uncorrected energy at -6.235 eV per atom.

Cell and atoms, written as POSCAR:
```
SiWSe2
1.0
7.185 0.018 -0.032
5.351 4.794 0.032
-6.380 -2.115 2.539
Se Si W
2 1 1
direct
0.890 0.890 0.000
0.610 0.610 0.000
0.250 0.750 0.500
0.750 0.250 0.500
```

SiWSe4 | PBE-GGA | optimized geometry

Summary:
The formation energy without anion corrections is 1.3887 eV per atom. The value obtained for the total moment is 2.261 μB per cell. The calculation puts the uncorrected energy at -3.997 eV per atom.

Cell and atoms, written as POSCAR:
```
SiWSe4
1.0
0.000 3.909 3.909
3.909 0.000 3.909
3.909 3.909 0.000
Si W Se
1 1 4
direct
0.750 0.750 0.750
0.000 0.000 0.000
0.878 0.374 0.374
0.374 0.374 0.878
0.374 0.878 0.374
0.374 0.374 0.374
```

SiWSe2 | PBE-GGA | optimized geometry

Summary:
The formation energy without anion corrections is 0.1703 eV per atom. The value obtained for the total moment is 0.000 μB per cell. The calculation puts the uncorrected energy at -6.166 eV per atom.

Cell and atoms, written as POSCAR:
```
SiWSe2
1.0
3.106 6.739 5.423
5.691 6.270 3.574
3.316 8.181 2.559
Si Se W
1 2 1
direct
0.000 0.000 0.000
0.899 0.899 0.899
0.101 0.101 0.101
0.500 0.500 0.500
```

SiWSe2 | PBE-GGA | optimized geometry

Summary:
The formation energy without anion corrections is -0.1029 eV per atom. The value obtained for the total moment is 0.000 μB per cell. The calculation puts the uncorrected energy at -6.439 eV per atom.

Cell and atoms, written as POSCAR:
```
SiWSe2
1.0
9.389 0.031 0.018
8.839 3.167 0.018
8.839 1.551 2.761
Se Si W
2 1 1
direct
0.028 0.028 0.028
0.221 0.221 0.221
0.495 0.495 0.495
0.757 0.757 0.757
```

SiW2Se | PBE-GGA | optimized geometry

Summary:
The formation energy without anion corrections is 0.5146 eV per atom. The value obtained for the total moment is 0.000 μB per cell. The calculation puts the uncorrected energy at -8.189 eV per atom. The calculation puts the distance to the lowest polymorph of the same formula at 1.629 eV/f.u.

Cell and atoms, written as POSCAR:
```
SiW2Se
1.0
4.746 0.000 0.000
1.199 4.592 0.000
-2.972 -2.296 2.901
Se Si W
1 1 2
direct
0.500 0.500 0.000
0.750 0.250 0.500
0.000 0.000 0.000
0.250 0.750 0.500
```

SiWSe2 | PBE-GGA | optimized geometry

Summary:
The formation energy without anion corrections is 0.5351 eV per atom. The value obtained for the total moment is 0.000 μB per cell. The calculation puts the uncorrected energy at -5.801 eV per atom.

Cell and atoms, written as POSCAR:
```
SiWSe2
1.0
5.448 0.026 -0.004
2.226 4.972 0.004
-3.101 -3.629 2.626
Se Si W
2 1 1
direct
0.967 0.967 0.000
0.272 0.772 0.500
0.513 0.513 0.000
0.748 0.248 0.500
```

SiW2Se | PBE-GGA | optimized geometry

Summary:
The formation energy without anion corrections is 0.2017 eV per atom. The value obtained for the total moment is 0.000 μB per cell. The calculation puts the uncorrected energy at -8.502 eV per atom. The calculation puts the distance to the lowest polymorph of the same formula at 0.377 eV/f.u.

Cell and atoms, written as POSCAR:
```
SiW2Se
1.0
8.120 -0.001 -0.001
7.531 3.037 -0.001
7.531 1.461 2.662
Se Si W
1 1 2
direct
0.503 0.503 0.503
0.746 0.746 0.746
0.004 0.004 0.004
0.247 0.247 0.247
```

SiW2Se | PBE-GGA | optimized geometry

Summary:
The formation energy without anion corrections is 0.5752 eV per atom. The value obtained for the total moment is 0.000 μB per cell. The calculation puts the uncorrected energy at -8.128 eV per atom. The calculation puts the distance to the lowest polymorph of the same formula at 1.871 eV/f.u.

Cell and atoms, written as POSCAR:
```
SiW2Se
1.0
-2.210 0.640 1.723
0.130 -2.825 -0.512
4.871 -0.973 6.608
Se Si W
1 1 2
direct
0.500 0.500 0.250
0.500 0.500 0.750
0.000 0.000 0.982
0.000 0.000 0.518
```

SiW2Se | PBE-GGA | optimized geometry

Summary:
The formation energy without anion corrections is 0.5427 eV per atom. The value obtained for the total moment is 0.000 μB per cell. The calculation puts the uncorrected energy at -8.161 eV per atom. The calculation puts the distance to the lowest polymorph of the same formula at 1.741 eV/f.u.

Cell and atoms, written as POSCAR:
```
SiW2Se
1.0
4.123 0.000 0.000
0.000 3.364 -0.038
0.000 0.897 5.134
Se Si W
1 1 2
direct
0.500 0.250 0.250
0.500 0.750 0.750
0.000 0.981 0.936
0.000 0.519 0.564
```

SiW2Se | PBE-GGA | optimized geometry

Summary:
The formation energy without anion corrections is 0.1075 eV per atom. The value obtained for the total moment is 0.000 μB per cell. The calculation puts the uncorrected energy at -8.596 eV per atom. The calculation puts the distance to the lowest polymorph of the same formula at 0.000 eV/f.u.

Cell and atoms, written as POSCAR:
```
SiW2Se
1.0
-3.202 -0.485 0.198
0.466 -2.078 2.447
-0.433 4.427 3.842
Se Si W
1 1 2
direct
0.000 0.000 0.490
0.500 0.500 0.784
0.000 0.000 0.956
0.500 0.500 0.270
```

SiWSe2 | PBE-GGA | optimized geometry

Summary:
The formation energy without anion corrections is 0.3397 eV per atom. The value obtained for the total moment is 0.000 μB per cell. The calculation puts the uncorrected energy at -5.997 eV per atom.

Cell and atoms, written as POSCAR:
```
SiWSe2
1.0
-0.999 -2.770 -1.126
2.855 -1.236 0.508
-1.944 -1.881 6.352
Se Si W
2 1 1
direct
0.000 0.000 0.973
0.000 0.000 0.527
0.500 0.500 0.250
0.500 0.500 0.750
```

SiWSe2 | PBE-GGA | optimized geometry

Summary:
The formation energy without anion corrections is -0.0610 eV per atom. The value obtained for the total moment is 0.000 μB per cell. The calculation puts the uncorrected energy at -6.397 eV per atom.

Cell and atoms, written as POSCAR:
```
SiWSe2
1.0
-2.134 1.782 1.597
-1.478 -2.944 1.310
4.319 -0.590 6.431
Se Si W
2 1 1
direct
0.000 0.834 0.927
0.500 0.249 0.347
0.000 0.476 0.545
0.500 0.941 0.681
```

SiWSe2 | PBE-GGA | optimized geometry

Summary:
The formation energy without anion corrections is 0.4087 eV per atom. The value obtained for the total moment is 0.000 μB per cell. The calculation puts the uncorrected energy at -5.928 eV per atom.

Cell and atoms, written as POSCAR:
```
SiWSe2
1.0
4.450 -0.010 0.012
3.259 3.030 0.012
0.664 0.260 5.331
Se Si W
2 1 1
direct
0.971 0.971 0.027
0.529 0.529 0.473
0.750 0.750 0.750
0.250 0.250 0.250
```

SiWSe2 | PBE-GGA | optimized geometry

Summary:
The formation energy without anion corrections is 0.6831 eV per atom. The value obtained for the total moment is 0.000 μB per cell. The calculation puts the uncorrected energy at -5.653 eV per atom.

Cell and atoms, written as POSCAR:
```
SiWSe2
1.0
-3.025 3.760 -0.437
-0.363 -2.125 4.340
1.042 2.638 2.670
Se Si W
2 1 1
direct
0.000 0.000 0.000
0.500 0.500 0.000
0.500 0.000 0.500
0.000 0.500 0.500
```

SiW2Se | PBE-GGA | optimized geometry

Summary:
The formation energy without anion corrections is 0.3788 eV per atom. The value obtained for the total moment is 0.000 μB per cell. The calculation puts the uncorrected energy at -8.325 eV per atom. The calculation puts the distance to the lowest polymorph of the same formula at 1.085 eV/f.u.

Cell and atoms, written as POSCAR:
```
SiW2Se
1.0
2.947 0.000 0.000
0.000 5.210 0.005
0.000 3.540 4.061
Se Si W
1 1 2
direct
0.500 0.500 0.500
0.000 0.000 0.500
0.000 0.000 0.000
0.500 0.500 0.000
```

SiW2Se | PBE-GGA | optimized geometry

Summary:
The formation energy without anion corrections is 0.3828 eV per atom. The value obtained for the total moment is 0.000 μB per cell. The calculation puts the uncorrected energy at -8.321 eV per atom. The calculation puts the distance to the lowest polymorph of the same formula at 1.101 eV/f.u.

Cell and atoms, written as POSCAR:
```
SiW2Se
1.0
5.520 0.010 -0.001
3.005 4.631 0.001
-3.846 -3.085 2.482
Se Si W
1 1 2
direct
0.520 0.520 0.000
0.232 0.732 0.500
0.009 0.009 0.000
0.740 0.240 0.500
```

Si2W2Se | PBE-GGA | optimized geometry

Summary:
The formation energy without anion corrections is 0.1809 eV per atom. The value obtained for the total moment is 0.000 μB per cell. The calculation puts the uncorrected energy at -7.866 eV per atom. The calculation puts the distance to the lowest polymorph of the same formula at 0.112 eV/f.u.

Cell and atoms, written as POSCAR:
```
Si2W2Se
1.0
-2.184 -5.447 -3.858
5.462 -3.792 2.262
-1.749 -1.047 2.469
Si Se W
4 2 4
direct
0.132 0.632 0.500
0.632 0.868 0.500
0.868 0.368 0.500
0.368 0.132 0.500
0.000 0.000 0.000
0.500 0.500 0.000
0.344 0.844 0.000
0.844 0.656 0.000
0.656 0.156 0.000
0.156 0.344 0.000
```

SiW2Se | PBE-GGA | optimized geometry

Summary:
The formation energy without anion corrections is 0.2243 eV per atom. The value obtained for the total moment is 0.000 μB per cell. The calculation puts the uncorrected energy at -8.479 eV per atom. The calculation puts the distance to the lowest polymorph of the same formula at 0.467 eV/f.u.

Cell and atoms, written as POSCAR:
```
SiW2Se
1.0
3.129 0.000 0.000
0.000 3.129 0.000
0.000 0.000 6.285
Se Si W
1 1 2
direct
0.500 0.500 0.250
0.500 0.500 0.750
0.000 0.000 0.967
0.000 0.000 0.533
```

SiWSe2 | PBE-GGA | optimized geometry

Summary:
The formation energy without anion corrections is 0.6352 eV per atom. The value obtained for the total moment is 0.000 μB per cell. The calculation puts the uncorrected energy at -5.701 eV per atom.

Cell and atoms, written as POSCAR:
```
SiWSe2
1.0
2.955 0.017 0.000
-1.293 2.657 0.000
0.000 0.000 9.537
Se Si W
2 1 1
direct
0.000 0.000 0.968
0.000 0.000 0.532
0.500 0.500 0.250
0.500 0.500 0.750
```

Si2W2Se | PBE-GGA | optimized geometry

Summary:
The formation energy without anion corrections is 0.1586 eV per atom. The value obtained for the total moment is 0.000 μB per cell. The calculation puts the uncorrected energy at -7.889 eV per atom. The calculation puts the distance to the lowest polymorph of the same formula at 0.000 eV/f.u.

Cell and atoms, written as POSCAR:
```
Si2W2Se
1.0
3.388 0.000 0.000
0.000 3.388 0.000
1.694 1.694 6.787
Si Se W
2 1 2
direct
0.750 0.250 0.500
0.250 0.750 0.500
0.000 0.000 0.000
0.389 0.389 0.223
0.611 0.611 0.777
```

SiW2Se | PBE-GGA | optimized geometry

Summary:
The formation energy without anion corrections is 0.1995 eV per atom. The value obtained for the total moment is 0.000 μB per cell. The calculation puts the uncorrected energy at -8.504 eV per atom. The calculation puts the distance to the lowest polymorph of the same formula at 0.368 eV/f.u.

Cell and atoms, written as POSCAR:
```
SiW2Se
1.0
4.609 0.000 0.000
0.000 3.034 -0.001
0.000 0.002 4.441
Se Si W
1 1 2
direct
0.000 0.375 0.520
0.500 0.875 0.740
0.000 0.875 0.012
0.500 0.375 0.228
```

SiW2Se | PBE-GGA | optimized geometry

Summary:
The formation energy without anion corrections is 0.3243 eV per atom. The value obtained for the total moment is 0.000 μB per cell. The calculation puts the uncorrected energy at -8.379 eV per atom. The calculation puts the distance to the lowest polymorph of the same formula at 0.867 eV/f.u.

Cell and atoms, written as POSCAR:
```
SiW2Se
1.0
1.778 -3.978 0.547
-2.434 -3.600 -0.638
0.749 -2.568 -3.483
Si Se W
1 1 2
direct
0.000 0.000 0.000
0.500 0.500 0.500
0.250 0.250 0.250
0.750 0.750 0.750
```

SiWSe2 | PBE-GGA | optimized geometry

Summary:
The formation energy without anion corrections is 0.6023 eV per atom. The value obtained for the total moment is 0.000 μB per cell. The calculation puts the uncorrected energy at -5.734 eV per atom.

Cell and atoms, written as POSCAR:
```
SiWSe2
1.0
1.921 0.000 7.943
-0.961 1.664 7.943
-0.961 -1.664 7.943
Si Se W
1 2 1
direct
0.500 0.500 0.500
0.897 0.897 0.897
0.103 0.103 0.103
0.000 0.000 0.000
```

SiWSe2 | PBE-GGA | optimized geometry

Summary:
The formation energy without anion corrections is 0.0128 eV per atom. The value obtained for the total moment is 0.000 μB per cell. The calculation puts the uncorrected energy at -6.324 eV per atom.

Cell and atoms, written as POSCAR:
```
SiWSe2
1.0
-1.436 3.900 1.744
-3.847 2.340 0.192
-2.435 -2.270 6.065
Se Si W
2 1 1
direct
0.956 0.956 0.106
0.733 0.733 0.637
0.541 0.541 0.423
0.270 0.270 0.335
```

SiWSe2 | PBE-GGA | optimized geometry

Summary:
The formation energy without anion corrections is 0.7631 eV per atom. The value obtained for the total moment is 0.000 μB per cell. The calculation puts the uncorrected energy at -5.573 eV per atom.

Cell and atoms, written as POSCAR:
```
SiWSe2
1.0
-2.100 -1.353 1.984
3.862 -1.722 2.914
-0.135 3.547 2.275
Se Si W
2 1 1
direct
0.000 0.000 0.000
0.500 0.500 0.000
0.500 0.000 0.500
0.000 0.500 0.500
```

SiWSe2 | PBE-GGA | optimized geometry

Summary:
The formation energy without anion corrections is -0.0177 eV per atom. The value obtained for the total moment is 0.000 μB per cell. The calculation puts the uncorrected energy at -6.354 eV per atom.

Cell and atoms, written as POSCAR:
```
SiWSe2
1.0
-3.011 -0.707 -0.828
1.089 -1.960 -2.286
-0.004 -5.701 4.888
Se Si W
2 1 1
direct
0.000 0.000 0.913
0.500 0.500 0.353
0.000 0.000 0.528
0.500 0.500 0.706
```